Entry 1:
## YGaAu (GGA-PBE)

Data for YGaAu after structural relaxation.

Unit cell a=6.761 b=6.761 c=6.761 alpha=90.00 beta=90.00 gamma=90.00
Space group F-43m (No. 216)
One atom of each set of equivalent atoms:
Y (0.000, 0.000, 0.000) x4
Ga (0.250, 0.250, 0.250) x4
Au (0.250, 0.250, 0.750) x4

Entry 2:
## YGa2Au (GGA-PBE)

Data for YGa2Au after structural relaxation.

Unit cell a=6.857 b=6.857 c=6.857 alpha=90.00 beta=90.00 gamma=90.00
Space group F-43m (No. 216)
One atom of each set of equivalent atoms:
Y (0.000, 0.000, 0.000) x4
Ga (0.000, 0.000, 0.500) x4
Ga (0.250, 0.250, 0.250) x4
Au (0.250, 0.250, 0.750) x4

Entry 3:
## ZnGaAu (GGA-PBE)

Data for ZnGaAu after structural relaxation.

Unit cell a=6.119 b=6.119 c=6.119 alpha=90.00 beta=90.00 gamma=90.00
Space group F-43m (No. 216)
One atom of each set of equivalent atoms:
Zn (0.000, 0.000, 0.000) x4
Ga (0.000, 0.000, 0.500) x4
Au (0.250, 0.250, 0.750) x4

Entry 4:
## Zn2GaAu (GGA-PBE)

Data for Zn2GaAu after structural relaxation.

Unit cell a=6.458 b=6.458 c=6.458 alpha=90.00 beta=90.00 gamma=90.00
Space group F-43m (No. 216)
One atom of each set of equivalent atoms:
Zn (0.000, 0.000, 0.000) x4
Zn (0.250, 0.250, 0.250) x4
Ga (0.000, 0.000, 0.500) x4
Au (0.250, 0.250, 0.750) x4

Entry 5:
## ZnGaAu (GGA-PBE)

Data for ZnGaAu after structural relaxation.

Unit cell a=7.3677 b=7.3677 c=3.3202 alpha=90.00 beta=90.00 gamma=120.00
Space group P-62m (No. 189)
One atom of each set of equivalent atoms:
Zn (0.0000, 0.6244, 0.0000) x3
Ga (0.0000, 0.2871, 0.5000) x3
Au (0.0000, 0.0000, 0.0000) x1
Au (0.3333, 0.6667, 0.5000) x2

Entry 6:
## Zn2GaAu2 (GGA-PBE)

Data for Zn2GaAu2 after structural relaxation.

Unit cell a=3.937 b=3.937 c=12.355 alpha=90.00 beta=90.00 gamma=90.00
Space group I4/mmm (No. 139)
One atom of each set of equivalent atoms:
Zn (0.000, 0.000, 0.100) x4
Ga (0.000, 0.000, 0.500) x2
Au (0.000, 0.500, 0.250) x4

Entry 7:
## ZrGa2Au2 (GGA-PBE)

Data for ZrGa2Au2 after structural relaxation.

Unit cell a=7.602 b=7.602 c=3.158 alpha=90.00 beta=90.00 gamma=90.00
Space group P4/mbm (No. 127)
One atom of each set of equivalent atoms:
Zr (0.000, 0.000, 0.000) x2
Ga (0.136, 0.364, 0.000) x4
Au (0.164, 0.664, 0.500) x4

Entry 8:
## Zr2GaAu (GGA-PBE)

Data for Zr2GaAu after structural relaxation.

Unit cell a=6.842 b=6.842 c=6.842 alpha=90.00 beta=90.00 gamma=90.00
Space group F-43m (No. 216)
One atom of each set of equivalent atoms:
Zr (0.000, 0.000, 0.000) x4
Zr (0.250, 0.250, 0.250) x4
Ga (0.000, 0.000, 0.500) x4
Au (0.250, 0.250, 0.750) x4

Entry 9:
## ZrGaAu2 (GGA-PBE)

Data for ZrGaAu2 after structural relaxation.

Unit cell a=6.649 b=6.649 c=6.649 alpha=90.00 beta=90.00 gamma=90.00
Space group F-43m (No. 216)
One atom of each set of equivalent atoms:
Zr (0.000, 0.000, 0.000) x4
Ga (0.250, 0.250, 0.750) x4
Au (0.000, 0.000, 0.500) x4
Au (0.250, 0.250, 0.250) x4

Entry 10:
## ZrGa2Au2 (GGA-PBE)

Data for ZrGa2Au2 after structural relaxation.

Unit cell a=4.133 b=4.133 c=10.894 alpha=90.00 beta=90.00 gamma=90.00
Space group I4/mmm (No. 139)
One atom of each set of equivalent atoms:
Zr (0.000, 0.000, 0.000) x2
Ga (0.000, 0.000, 0.393) x4
Au (0.000, 0.500, 0.250) x4

Entry 11:
## GdAu (GGA-PBE)

Data for GdAu after structural relaxation.

Unit cell a=3.5981 b=3.5981 c=4.3108 alpha=90.00 beta=90.00 gamma=120.00
Space group P-6m2 (No. 187)
One atom of each set of equivalent atoms:
Gd (0.0000, 0.0000, 0.0000) x1
Au (0.3333, 0.6667, 0.5000) x1

Results
ΔH_f (0 K) = -0.62 eV/atom

Entry 12:
## Gd3Au2 (GGA-PBE)

Data for Gd3Au2 after structural relaxation.

Unit cell a=8.9698 b=8.9698 c=17.1029 alpha=90.00 beta=90.00 gamma=120.00
Space group R-3 (No. 148, hexagonal axes)
One atom of each set of equivalent atoms:
Gd (0.0000, 0.0000, 0.0000) x3
Gd (0.0000, 0.0000, 0.2023) x6
Gd (0.0071, 0.7605, 0.5890) x18
Au (0.0158, 0.4034, 0.5726) x18

Results
ΔH_f (0 K) = -0.68 eV/atom

Entry 13:
## GdAu (GGA-PBE)

Data for GdAu after structural relaxation.

Unit cell a=3.617 b=3.617 c=3.617 alpha=90.00 beta=90.00 gamma=90.00
Space group Pm-3m (No. 221)
One atom of each set of equivalent atoms:
Gd (0.000, 0.000, 0.000) x1
Au (0.500, 0.500, 0.500) x1

Results
ΔH_f (0 K) = -0.84 eV/atom

Entry 14:
## GdAu6 (GGA-PBE)

Data for GdAu6 after structural relaxation.

Unit cell a=10.440 b=10.440 c=9.826 alpha=90.00 beta=90.00 gamma=90.00
Space group P4_2/ncm (No. 138, origin choice 2)
One atom of each set of equivalent atoms:
Gd (0.074, 0.074, 0.212) x8
Au (0.000, 0.000, 0.500) x4
Au (0.013, 0.681, 0.578) x16
Au (0.123, 0.699, 0.855) x16
Au (0.148, 0.148, 0.681) x8
Au (0.250, 0.250, 0.436) x4

Results
ΔH_f (0 K) = -0.42 eV/atom

Entry 15:
## GdAu (GGA-PBE)

Data for GdAu after structural relaxation.

Unit cell a=4.2727 b=4.2727 c=6.6472 alpha=90.00 beta=90.00 gamma=120.00
Space group P6_3/mmc (No. 194)
One atom of each set of equivalent atoms:
Gd (0.3333, 0.6667, 0.2500) x2
Au (0.0000, 0.0000, 0.0000) x2

Results
ΔH_f (0 K) = -0.71 eV/atom

Entry 16:
## GdAu (GGA-PBE)

Data for GdAu after structural relaxation.

Unit cell a=6.499 b=6.499 c=6.499 alpha=90.00 beta=90.00 gamma=90.00
Space group F-43m (No. 216)
One atom of each set of equivalent atoms:
Gd (0.000, 0.000, 0.000) x4
Au (0.250, 0.250, 0.250) x4

Results
ΔH_f (0 K) = -0.25 eV/atom

Entry 17:
## GdGe2Au2 (GGA-PBE)

Data for GdGe2Au2 after structural relaxation.

Unit cell a=4.304 b=4.304 c=11.132 alpha=90.00 beta=90.00 gamma=90.00
Space group P4/nmm (No. 129, origin choice 2)
One atom of each set of equivalent atoms:
Gd (0.250, 0.250, 0.234) x2
Ge (0.250, 0.250, 0.863) x2
Ge (0.250, 0.750, 0.500) x2
Au (0.250, 0.250, 0.641) x2
Au (0.250, 0.750, 0.000) x2

Entry 18:
## GdLu2Ge4Au4 (GGA-PBE)

Data for GdLu2Ge4Au4 after structural relaxation.

Unit cell a=4.297 b=7.070 c=14.576 alpha=90.00 beta=90.00 gamma=90.00
Space group Immm (No. 71)
One atom of each set of equivalent atoms:
Gd (0.000, 0.000, 0.000) x2
Lu (0.000, 0.500, 0.125) x4
Ge (0.000, 0.000, 0.218) x4
Ge (0.000, 0.182, 0.500) x4
Au (0.000, 0.297, 0.334) x8

Entry 19:
## GdLuGe2Au2 (GGA-PBE)

Data for GdLuGe2Au2 after structural relaxation.

Unit cell a=4.4657 b=4.4657 c=7.2822 alpha=90.00 beta=90.00 gamma=120.00
Space group P3m1 (No. 156)
One atom of each set of equivalent atoms:
Gd (0.0000, 0.0000, 0.0000) x1
Lu (0.0000, 0.0000, 0.4993) x1
Ge (0.3333, 0.6667, 0.7042) x1
Ge (0.6667, 0.3333, 0.2109) x1
Au (0.3333, 0.6667, 0.3051) x1
Au (0.6667, 0.3333, 0.7770) x1

Entry 20:
## NdGd2Ge4Au4 (GGA-PBE)

Data for NdGd2Ge4Au4 after structural relaxation.

Unit cell a=4.389 b=7.131 c=14.697 alpha=90.00 beta=90.00 gamma=90.00
Space group Immm (No. 71)
One atom of each set of equivalent atoms:
Nd (0.000, 0.000, 0.000) x2
Gd (0.000, 0.500, 0.127) x4
Ge (0.000, 0.000, 0.218) x4
Ge (0.000, 0.181, 0.500) x4
Au (0.000, 0.299, 0.333) x8

Entry 21:
## NdGdGe2Au2 (GGA-PBE)

Data for NdGdGe2Au2 after structural relaxation.

Unit cell a=4.5142 b=4.5142 c=7.5620 alpha=90.00 beta=90.00 gamma=120.00
Space group P3m1 (No. 156)
One atom of each set of equivalent atoms:
Nd (0.0000, 0.0000, 0.0000) x1
Gd (0.0000, 0.0000, 0.4983) x1
Ge (0.3333, 0.6667, 0.7052) x1
Ge (0.6667, 0.3333, 0.2159) x1
Au (0.3333, 0.6667, 0.2922) x1
Au (0.6667, 0.3333, 0.7677) x1

Entry 22:
## GdGeAuO3 (GGA-PBE)

Data for GdGeAuO3 after structural relaxation.

Unit cell a=3.179 b=15.534 c=8.271 alpha=90.00 beta=90.00 gamma=90.00
Space group Cmcm (No. 63)
One atom of each set of equivalent atoms:
Gd (0.000, 0.000, 0.000) x4
Ge (0.000, 0.195, 0.250) x4
Au (0.000, 0.409, 0.250) x4
O (0.000, 0.130, 0.079) x8
O (0.000, 0.244, 0.750) x4

Entry 23:
## GdGeAuS3 (GGA-PBE)

Data for GdGeAuS3 after structural relaxation.

Unit cell a=3.861 b=12.617 c=10.528 alpha=90.00 beta=90.00 gamma=90.00
Space group Cmcm (No. 63)
One atom of each set of equivalent atoms:
Gd (0.000, 0.000, 0.000) x4
Ge (0.000, 0.234, 0.250) x4
Au (0.000, 0.470, 0.750) x4
S (0.000, 0.107, 0.750) x4
S (0.000, 0.351, 0.564) x8

Entry 24:
## GdGeAuSe2S (GGA-PBE)

Data for GdGeAuSe2S after structural relaxation.

Unit cell a=3.959 b=13.302 c=10.319 alpha=90.00 beta=90.00 gamma=90.00
Space group Cmcm (No. 63)
One atom of each set of equivalent atoms:
Gd (0.000, 0.000, 0.000) x4
Ge (0.000, 0.245, 0.250) x4
Au (0.000, 0.476, 0.750) x4
Se (0.000, 0.345, 0.564) x8
S (0.000, 0.100, 0.750) x4

| no. | uncorrected energy (eV for the cell shown) |
| --- | --- |
| 1 | -53.81 |
| 2 | -71.28 |
| 3 | -32.67 |
| 4 | -35.38 |
| 5 | -24.03 |
| 6 | -24.28 |
| 7 | -44.97 |
| 8 | -93.96 |
| 9 | -78.85 |
| 10 | -45.36 |
| 11 | -9.16 |
| 12 | -214.87 |
| 13 | -9.60 |
| 14 | -217.71 |
| 15 | -18.70 |
| 16 | -33.70 |
| 17 | -45.76 |
| 18 | -104.74 |
| 19 | -29.85 |
| 20 | -106.91 |
| 21 | -30.25 |
| 22 | -143.47 |
| 23 | -117.99 |
| 24 | -112.18 |